Entry 1:
DFT (PBE) results for crystalline Sm2Dy4Y3 at its relaxed geometry.

Properties
Fermi-level density of states   26.224 states/eV per cell
Energy relative to the elements   95 meV per atom

Unit cell a=9.9996 b=9.9996 c=6.1595 alpha=94.85 beta=94.85 gamma=71.14
Last column: nearest neighbours and their distance in Å.
Fractional coordinates of all 18 atoms:
1 Sm 0.0221 0.7353 0.6796  4 Dy 3.29-3.62, 4 Y 3.44-3.50
2 Sm 0.2647 0.9779 0.8204  4 Dy 3.29-3.62, 4 Y 3.44-3.50
3 Sm 0.7353 0.0221 0.1796  4 Dy 3.29-3.62, 4 Y 3.44-3.50
4 Sm 0.9779 0.2647 0.3204  4 Dy 3.29-3.62, 4 Y 3.44-3.50
5 Dy 0.0751 0.3544 0.8486  1 Dy 3.31, 4 Y 3.38-3.52, 3 Sm 3.42-3.62
6 Dy 0.3125 0.5940 0.9849  1 Sm 3.29, 4 Y 3.39-3.49, 3 Dy 3.41-3.61
7 Dy 0.3544 0.0751 0.3486  1 Dy 3.31, 4 Y 3.38-3.52, 3 Sm 3.42-3.62
8 Dy 0.4060 0.6875 0.5151  1 Sm 3.29, 4 Y 3.39-3.49, 3 Dy 3.41-3.61
9 Dy 0.5940 0.3125 0.4849  1 Sm 3.29, 4 Y 3.39-3.49, 3 Dy 3.41-3.61
10 Dy 0.6456 0.9249 0.6514  1 Dy 3.31, 4 Y 3.38-3.52, 3 Sm 3.42-3.62
11 Dy 0.6875 0.4060 0.0151  1 Sm 3.29, 4 Y 3.39-3.49, 3 Dy 3.41-3.61
12 Dy 0.9249 0.6456 0.1514  1 Dy 3.31, 4 Y 3.38-3.52, 3 Sm 3.42-3.62
13 Y 0.0984 0.9016 0.2500  4 Sm 3.44-3.50, 4 Dy 3.49-3.52, 2 Y 3.84
14 Y 0.2360 0.4328 0.4103  6 Dy 3.38-3.52, 2 Sm 3.47-3.49
15 Y 0.4328 0.2360 0.9103  6 Dy 3.38-3.52, 2 Sm 3.47-3.49
16 Y 0.5672 0.7640 0.0897  6 Dy 3.38-3.52, 2 Sm 3.47-3.49
17 Y 0.7640 0.5672 0.5897  6 Dy 3.38-3.52, 2 Sm 3.47-3.49
18 Y 0.9016 0.0984 0.7500  4 Sm 3.44-3.50, 4 Dy 3.49-3.52, 2 Y 3.84



Entry 2:
DFT (PBE) results for crystalline SmDy10Y4 at its relaxed geometry.

Properties
Fermi-level density of states   23.646 states/eV per cell
Energy relative to the elements   345 meV per atom

Unit cell a=8.6418 b=8.6418 c=8.6418 alpha=111.62 beta=111.62 gamma=105.25
Last column: nearest neighbours and their distance in Å.
Fractional coordinates of all 15 atoms:
1 Sm 0.0000 0.0000 0.0000  4 Y 3.31
2 Dy 0.1271 0.4529 0.8992  5 Dy 3.14-3.35
3 Dy 0.2279 0.1271 0.6742  5 Dy 3.14-3.35
4 Dy 0.2500 0.7500 0.5000  4 Dy 3.14, 4 Y 3.15
5 Dy 0.4463 0.7721 0.8992  5 Dy 3.14-3.35
6 Dy 0.4529 0.5537 0.3258  5 Dy 3.14-3.35
7 Dy 0.5471 0.4463 0.6742  5 Dy 3.14-3.35
8 Dy 0.5537 0.2279 0.1008  5 Dy 3.14-3.35
9 Dy 0.7500 0.2500 0.5000  4 Dy 3.14, 4 Y 3.15
10 Dy 0.7721 0.8729 0.3258  5 Dy 3.14-3.35
11 Dy 0.8729 0.5471 0.1008  5 Dy 3.14-3.35
12 Y 0.0682 0.3339 0.4021  2 Dy 3.15, 1 Sm 3.31, 1 Y 3.49
13 Y 0.3339 0.9318 0.2657  2 Dy 3.15, 1 Sm 3.31, 1 Y 3.49
14 Y 0.6661 0.0682 0.7343  2 Dy 3.15, 1 Sm 3.31, 1 Y 3.49
15 Y 0.9318 0.6661 0.5979  2 Dy 3.15, 1 Sm 3.31, 1 Y 3.49



Entry 3:
DFT (PBE) results for crystalline Sm5Dy6Y at its relaxed geometry.

Properties
Fermi-level density of states   16.569 states/eV per cell
Energy relative to the elements   18 meV per atom

Unit cell a=9.4755 b=9.4755 c=9.4755 alpha=149.01 beta=115.43 gamma=73.34
Last column: nearest neighbours and their distance in Å.
Fractional coordinates of all 12 atoms:
1 Sm 0.0000 0.0000 0.0000  8 Dy 3.58, 4 Sm 3.58
2 Sm 0.1669 0.6669 0.5000  8 Dy 3.58, 4 Sm 3.58
3 Sm 0.3337 0.3337 0.0000  8 Dy 3.58-3.59, 2 Y 3.58, 2 Sm 3.58
4 Sm 0.6663 0.6663 0.0000  8 Dy 3.58-3.59, 2 Y 3.58, 2 Sm 3.58
5 Sm 0.8331 0.3331 0.5000  8 Dy 3.58, 4 Sm 3.58
6 Dy 0.0835 0.8334 0.2501  7 Sm 3.58-3.59, 1 Y 3.58, 4 Dy 3.58
7 Dy 0.2500 0.5000 0.7500  6 Sm 3.58, 2 Y 3.58, 4 Dy 3.58
8 Dy 0.4168 0.1666 0.2501  7 Sm 3.58-3.59, 1 Y 3.58, 4 Dy 3.58
9 Dy 0.5832 0.8334 0.7499  7 Sm 3.58-3.59, 1 Y 3.58, 4 Dy 3.58
10 Dy 0.7500 0.5000 0.2500  6 Sm 3.58, 2 Y 3.58, 4 Dy 3.58
11 Dy 0.9165 0.1666 0.7499  7 Sm 3.58-3.59, 1 Y 3.58, 4 Dy 3.58
12 Y 0.5000 0.0000 0.5000  4 Sm 3.58, 8 Dy 3.58



Entry 4:
DFT (PBE) results for crystalline Sm2Dy3Y at its relaxed geometry.

Properties
Fermi-level density of states   20.661 states/eV per cell
Polymorph energy (0 for the lowest one)   71 meV/atom
Energy relative to the elements   166 meV per atom

Unit cell a=8.9035 b=8.9035 c=5.9913 alpha=109.65 beta=109.65 gamma=65.87
Last column: nearest neighbours and their distance in Å.
Fractional coordinates of all 12 atoms:
1 Sm 0.0847 0.6478 0.6143  1 Sm 3.24, 1 Dy 3.44, 2 Y 3.60-3.61
2 Sm 0.3522 0.9153 0.8857  1 Sm 3.24, 1 Dy 3.44, 2 Y 3.60-3.61
3 Sm 0.6478 0.0847 0.1143  1 Sm 3.24, 1 Dy 3.44, 2 Y 3.60-3.61
4 Sm 0.9153 0.3522 0.3857  1 Sm 3.24, 1 Dy 3.44, 2 Y 3.60-3.61
5 Dy 0.1082 0.8918 0.2500  4 Dy 3.65-3.66, 6 Sm 3.65-3.68, 2 Y 4.08
6 Dy 0.1830 0.3495 0.0211  3 Dy 3.26-3.40, 1 Sm 3.44, 2 Y 3.61-3.64
7 Dy 0.3495 0.1830 0.5211  3 Dy 3.26-3.40, 1 Sm 3.44, 2 Y 3.61-3.64
8 Dy 0.6505 0.8170 0.4789  3 Dy 3.26-3.40, 1 Sm 3.44, 2 Y 3.61-3.64
9 Dy 0.8170 0.6505 0.9789  3 Dy 3.26-3.40, 1 Sm 3.44, 2 Y 3.61-3.64
10 Dy 0.8918 0.1082 0.7500  4 Dy 3.65-3.66, 6 Sm 3.65-3.68, 2 Y 4.08
11 Y 0.5000 0.5000 0.0000  2 Y 3.00
12 Y 0.5000 0.5000 0.5000  2 Y 3.00



Total DFT energy (no corrections) / eV per cell: -92.8, -71.4, -57.5, -57.4
M_tot / μB/f.u.: 0.0, 0.0, 0.0, 0.0